Here is a relaxed structure of NaPm2P3Rh12 from Alexandria. Energies are from PBE-GGA.

a = 6.710 Å, b = 6.710 Å, c = 6.710 Å
α = 83.62°, β = 83.62°, γ = 83.62°
Fractional coordinates of all 18 atoms:
Rh  0.174  0.174  0.670
Pm  0.372  0.372  0.372
Rh  0.632  0.632  0.091
Rh  0.330  0.826  0.826
Rh  0.091  0.632  0.632
Na  0.000  0.000  0.000
Rh  0.174  0.670  0.174
Rh  0.368  0.368  0.909
Pm  0.628  0.628  0.628
Rh  0.826  0.826  0.330
Rh  0.670  0.174  0.174
P  0.500  0.000  0.000
Rh  0.632  0.091  0.632
P  0.000  0.000  0.500
P  0.000  0.500  0.000
Rh  0.368  0.909  0.368
Rh  0.826  0.330  0.826
Rh  0.909  0.368  0.368

Properties
Symmetry: R-3m (166)
Crystal system: trigonal
Energy of formation in eV/atom: -0.22